# Rb2NaNiF6

Rb2NaNiF6 after structural relaxation (PBE+U, the Alexandria database).

a = 6.011 Å, b = 6.011 Å, c = 6.011 Å
α = 60.00°, β = 60.00°, γ = 60.00°
Positions (direct):
Rb: 0.250 0.250 0.250
Rb: 0.750 0.750 0.750
Na: 0.000 0.000 0.000
Ni: 0.500 0.500 0.500
F: 0.273 0.273 0.727
F: 0.273 0.727 0.273
F: 0.273 0.727 0.727
F: 0.727 0.273 0.273
F: 0.727 0.273 0.727
F: 0.727 0.727 0.273

Properties
Total moment = 1.00 Bohr magnetons per cell
E_tot = -4.111 eV per atom
Crystal system = cubic